No. 1
# CsCa2Mn2 PBE optimized geometry
# DOS at the Fermi energy ... 7.501 states/eV/f.u.
# Uncorrected energy ... -3.94 eV per atom
data_CsCa2Mn2
_space_group_name_H-M_alt 'P 4/m b m'
_space_group_IT_number 127
_space_group_name_Hall '-P 4 2ab'
_cell_length_a 9.5647
_cell_length_b 9.5647
_cell_length_c 3.6463
_cell_angle_alpha 90.00
_cell_angle_beta 90.00
_cell_angle_gamma 90.00
loop_
_atom_site_label
_atom_site_fract_x
_atom_site_fract_y
_atom_site_fract_z
Cs1 0.0000 0.0000 0.0000
Ca1 0.1625 0.3375 0.0000
Mn1 0.1019 0.6019 0.5000



No. 2
# Ce5TlPt2 PBE optimized geometry
# DOS at the Fermi energy ... 20.558 states/eV/f.u.
# Uncorrected energy ... -6.07 eV per atom
data_Ce5TlPt2
_space_group_name_H-M_alt 'C m c m'
_space_group_IT_number 63
_space_group_name_Hall '-C 2c 2'
_cell_length_a 4.6176
_cell_length_b 10.7808
_cell_length_c 16.6033
_cell_angle_alpha 90.00
_cell_angle_beta 90.00
_cell_angle_gamma 90.00
loop_
_atom_site_label
_atom_site_fract_x
_atom_site_fract_y
_atom_site_fract_z
Ce1 0.0000 0.0768 0.0692
Ce2 0.0000 0.2829 0.7500
Ce3 0.0000 0.4123 0.1033
Tl1 0.0000 0.0086 0.2500
Pt1 0.0000 0.2554 0.5703



No. 3
# NaNd2Gd PBE optimized geometry
# DOS at the Fermi energy ... 5.128 states/eV/f.u.
# Offset from the most stable computed form ... 0.362 eV per formula unit
data_NaNd2Gd
_space_group_name_H-M_alt 'P 4/m m m'
_space_group_IT_number 123
_space_group_name_Hall '-P 4 2'
_cell_length_a 5.9920
_cell_length_b 5.9920
_cell_length_c 3.7618
_cell_angle_alpha 90.00
_cell_angle_beta 90.00
_cell_angle_gamma 90.00
loop_
_atom_site_label
_atom_site_fract_x
_atom_site_fract_y
_atom_site_fract_z
Na1 0.0000 0.0000 0.0000
Nd1 0.0000 0.5000 0.5000
Gd1 0.5000 0.5000 0.0000